Record 1
{
  "formula": "BaTlHgBi",
  "functional": "PBE-GGA",
  "state": "optimized geometry",
  "final_energy_ev_per_atom": -2.574,
  "dos_at_fermi_per_ev_cell": 1.22,
  "lattice": [[0.0000, 4.1549, 4.1549], [4.1549, 0.0000, 4.1549], [4.1549, 4.1549, 0.0000]],
  "species": ["Ba", "Tl", "Hg", "Bi"],
  "frac_coords": [[0.0000, 0.0000, 0.0000], [0.5000, 0.5000, 0.5000], [0.7500, 0.7500, 0.7500], [0.2500, 0.2500, 0.2500]]
}

Record 2
{
  "formula": "Cr3CoAg",
  "functional": "PBE-GGA",
  "state": "optimized geometry",
  "final_energy_ev_per_atom": -6.517,
  "dos_at_fermi_per_ev_cell": 7.91,
  "relative_energy_mev_per_atom": 0.0,
  "lattice": [[4.2290, 0.0000, 0.0000], [0.0000, 4.2290, 0.0000], [0.0000, 0.0000, 4.2290]],
  "species": ["Cr", "Cr", "Cr", "Co", "Ag"],
  "frac_coords": [[0.0000, 0.0000, 0.5000], [0.0000, 0.5000, 0.0000], [0.5000, 0.0000, 0.0000], [0.0000, 0.0000, 0.0000], [0.5000, 0.5000, 0.5000]]
}

Record 3
{
  "formula": "BaPrH2",
  "functional": "PBE-GGA",
  "state": "optimized geometry",
  "final_energy_ev_per_atom": -3.603,
  "dos_at_fermi_per_ev_cell": 1.63,
  "lattice": [[2.0041, 1.1571, 6.7563], [-2.0041, 1.1571, 6.7563], [0.0000, -2.3141, 6.7563]],
  "species": ["Ba", "Pr", "H", "H"],
  "frac_coords": [[0.0000, 0.0000, 0.0000], [0.1842, 0.1842, 0.1842], [0.5743, 0.5743, 0.5743], [0.8600, 0.8600, 0.8600]]
}

Record 4
{
  "formula": "SrBe2NbN",
  "functional": "PBE-GGA",
  "state": "optimized geometry",
  "e_form_raw_mev_per_atom": 705,
  "final_energy_ev_per_atom": -4.801,
  "dos_at_fermi_per_ev_cell": 3.99,
  "lattice": [[4.3339, 0.0000, 0.0000], [0.0000, 4.3339, 0.0000], [0.0000, 0.0000, 4.2351]],
  "species": ["Sr", "Be", "Be", "Nb", "N"],
  "frac_coords": [[0.0000, 0.0000, 0.0000], [0.0000, 0.5000, 0.5000], [0.5000, 0.0000, 0.5000], [0.5000, 0.5000, 0.0000], [0.5000, 0.5000, 0.5000]]
}